Record 1
# MnAg2Sb

Crystalline MnAg2Sb at its relaxed geometry (PBE, Alexandria via LeMat-Bulk).

Structure (POSCAR):
```
MnAg2Sb
1.0
-2.193 -1.074 -3.244
-0.407 -3.745 1.515
-3.817 1.286 2.154
Ag Mn Sb
2 1 1
Cartesian
0.000 0.000 0.000 Ag
-1.300 -2.410 -0.865 Ag
-3.005 0.106 -0.545 Mn
-2.112 -1.229 1.835 Sb
```

Properties
Its space-group type is No. 123. The total moment is 0.959 μB per atom. The value obtained for the density of states at the Fermi level is 0.31 states/eV/atom. The value obtained for the final energy is -4.63 eV per atom.

=====

Record 2
# RbNaSnPb

Crystalline RbNaSnPb at its relaxed geometry (PBE, Alexandria via LeMat-Bulk).

Structure (POSCAR):
```
RbNaSnPb
1.0
-0.650 5.651 -0.700
-0.135 2.238 -5.275
-4.908 2.081 -2.106
Pb Na Sn Rb
1 1 1 1
Cartesian
-4.269 7.478 -6.060 Pb
-1.423 2.493 -2.020 Na
0.000 0.000 0.000 Sn
-2.846 4.985 -4.040 Rb
```

Properties
Its space-group type is No. 216. The total moment is 0.000 μB per atom. The value obtained for the density of states at the Fermi level is 0.53 states/eV/atom. Its energy of formation from the pure elements is -69.2 meV/atom.

=====

Record 3
# CaIr2Pt

Crystalline CaIr2Pt at its relaxed geometry (PBE, Alexandria via LeMat-Bulk).

Structure (POSCAR):
```
CaIr2Pt
1.0
2.759 0.000 0.000
0.000 4.197 0.000
0.000 0.000 5.999
Ca Ir Pt
1 2 1
Cartesian
1.380 2.098 4.499 Ca
0.000 0.000 0.233 Ir
0.000 0.000 2.766 Ir
1.380 2.098 1.500 Pt
```

Properties
Its space-group type is No. 47. The total moment is 0.000 μB per atom. The value obtained for the density of states at the Fermi level is 1.10 states/eV/atom. Its energy of formation from the pure elements is 52.7 meV/atom.

=====

Record 4
# Ag3Sn5F12

Crystalline Ag3Sn5F12 at its relaxed geometry (PBE, Alexandria via LeMat-Bulk).

Structure (POSCAR):
```
Ag3Sn5F12
1.0
12.657 0.000 0.000
-4.219 11.933 0.000
-4.219 -5.967 10.335
Ag Sn F
12 20 48
Cartesian
7.383 3.729 1.292 Ag
7.383 8.204 1.292 Ag
-1.055 5.221 6.459 Ag
1.055 -0.746 3.875 Ag
9.493 0.000 2.584 Ag
1.055 5.967 2.584 Ag
3.164 0.000 7.751 Ag
-5.274 5.967 7.751 Ag
3.164 6.713 6.459 Ag
5.274 0.746 3.875 Ag
-3.164 -2.238 9.043 Ag
-3.164 2.238 9.043 Ag
-1.055 2.983 2.584 Sn
-2.110 5.967 0.000 Sn
0.000 0.000 0.000 Sn
3.164 2.238 1.292 Sn
4.219 -2.983 5.167 Sn
4.219 5.967 0.000 Sn
-3.164 6.713 3.875 Sn
5.274 -3.729 9.043 Sn
5.274 5.221 3.875 Sn
1.055 -2.983 7.751 Sn
3.164 8.950 2.584 Sn
2.110 2.983 5.167 Sn
6.329 0.000 0.000 Sn
-2.110 -2.983 5.167 Sn
-1.055 0.746 6.459 Sn
-1.055 9.696 1.292 Sn
-4.219 2.983 5.167 Sn
7.383 -0.746 6.459 Sn
1.055 3.729 9.043 Sn
5.274 2.983 7.751 Sn
8.451 1.091 0.377 F
-0.013 3.856 4.411 F
9.352 2.966 2.931 F
5.415 1.928 1.134 F
1.788 4.492 7.027 F
9.018 5.767 1.859 F
-0.914 7.004 4.064 F
-3.305 10.005 1.134 F
0.321 7.441 7.027 F
5.749 6.167 1.859 F
6.316 3.202 4.034 F
6.316 10.842 0.377 F
-3.898 5.348 5.545 F
2.689 4.457 1.103 F
-4.206 8.731 4.034 F
2.097 -2.111 5.924 F
-0.321 0.856 2.237 F
2.689 7.677 0.756 F
5.415 8.968 2.931 F
-0.580 4.256 0.756 F
-2.431 6.822 8.098 F
3.023 4.929 4.064 F
6.007 6.585 5.545 F
4.799 -1.510 9.232 F
1.196 1.038 6.270 F
-1.788 -0.619 4.790 F
-0.580 7.477 1.103 F
-1.196 -3.001 7.404 F
6.650 -0.856 2.237 F
4.799 1.710 9.578 F
1.530 -1.710 9.578 F
2.122 8.078 4.411 F
4.540 5.111 8.098 F
8.425 -2.765 6.301 F
8.117 0.619 4.790 F
-2.097 -4.876 9.957 F
1.530 1.510 9.232 F
3.898 -1.474 3.308 F
-1.530 -0.200 8.475 F
-2.097 2.765 6.301 F
7.524 -4.039 9.201 F
5.133 -1.038 6.270 F
-1.196 4.039 9.201 F
-4.799 0.200 8.475 F
2.431 1.474 3.308 F
-5.133 3.001 7.404 F
4.232 2.111 5.924 F
-4.232 4.876 9.957 F
```

Properties
Its space-group type is No. 230. The total moment is 0.000 μB per atom. The value obtained for the density of states at the Fermi level is 0.12 states/eV/atom. The value obtained for the final energy is -4.21 eV per atom.

=====

Record 5
# LaP2RhS

Crystalline LaP2RhS at its relaxed geometry (PBE, Alexandria via LeMat-Bulk).

Structure (POSCAR):
```
LaP2RhS
1.0
5.435 0.000 0.000
0.000 5.435 0.000
0.000 0.000 5.367
P S Rh La
2 1 1 1
Cartesian
0.000 2.718 0.000 P
2.718 0.000 0.000 P
0.000 0.000 2.684 S
2.718 2.718 2.684 Rh
0.000 0.000 0.000 La
```

Properties
Its space-group type is No. 123. The total moment is 0.584 μB per atom. The value obtained for the density of states at the Fermi level is 1.67 states/eV/atom. The value obtained for the final energy is -4.30 eV per atom.

=====

Record 6
# K2NaHgCl

Crystalline K2NaHgCl at its relaxed geometry (PBE, Alexandria via LeMat-Bulk).

Structure (POSCAR):
```
K2NaHgCl
1.0
-0.898 -5.854 1.601
6.060 -0.955 -0.092
0.299 1.389 5.247
Na K Hg Cl
1 2 1 1
Cartesian
0.149 0.695 2.624 Na
3.030 -0.478 -0.046 K
-0.449 -2.927 0.800 K
2.730 -2.710 3.378 Hg
0.000 0.000 0.000 Cl
```

Properties
Its space-group type is No. 123. The total moment is 0.000 μB per atom. The value obtained for the density of states at the Fermi level is 0.75 states/eV/atom. The value obtained for the final energy is -1.84 eV per atom.

=====

Record 7
# Ba2CaZn3F12

Crystalline Ba2CaZn3F12 at its relaxed geometry (PBE, Alexandria via LeMat-Bulk).

Structure (POSCAR):
```
Ba2CaZn3F12
1.0
-0.691 -4.788 -5.277
5.966 -2.722 -2.871
1.603 -6.829 1.427
Ba Ca Zn F
2 1 3 12
Cartesian
4.223 -8.804 -4.126 Ba
2.655 -5.535 -2.594 Ba
0.000 0.000 0.000 Ca
-0.346 -2.394 -2.638 Zn
2.983 -1.361 -1.435 Zn
0.802 -3.415 0.714 Zn
2.853 -7.987 -1.038 F
5.213 -9.308 -6.435 F
6.241 -10.222 -3.432 F
1.512 -6.794 -4.957 F
3.260 -11.147 -4.510 F
5.403 -5.586 -3.550 F
4.025 -6.353 -5.682 F
1.664 -5.032 -0.286 F
0.637 -4.118 -3.288 F
5.366 -7.546 -1.764 F
3.618 -3.193 -2.211 F
1.475 -8.753 -3.170 F
```

Properties
Its space-group type is No. 166. The total moment is 0.000 μB per atom. The value obtained for the density of states at the Fermi level is 0.00 states/eV/atom. The value obtained for the final energy is -4.81 eV per atom.

=====

Record 8
# VCdAs2Se

Crystalline VCdAs2Se at its relaxed geometry (PBE, Alexandria via LeMat-Bulk).

Structure (POSCAR):
```
VCdAs2Se
1.0
4.841 0.000 0.000
0.000 4.841 0.000
0.000 0.000 4.765
As V Se Cd
2 1 1 1
Cartesian
0.000 2.421 0.000 As
2.421 0.000 0.000 As
0.000 0.000 0.000 V
0.000 0.000 2.383 Se
2.421 2.421 2.383 Cd
```

Properties
Its space-group type is No. 123. The total moment is 0.000 μB per atom. The value obtained for the density of states at the Fermi level is 0.48 states/eV/atom. The value obtained for the final energy is -4.44 eV per atom.

=====

Record 9
# Y2Zn3Cu

Crystalline Y2Zn3Cu at its relaxed geometry (PBE, Alexandria via LeMat-Bulk).

Structure (POSCAR):
```
Y2Zn3Cu
1.0
3.563 0.000 0.000
0.000 4.381 0.000
0.000 0.000 7.690
Y Zn Cu
2 3 1
Cartesian
0.000 2.191 0.063 Y
0.000 0.000 3.791 Y
1.781 0.000 6.404 Zn
1.781 0.000 1.282 Zn
1.781 2.191 5.110 Zn
1.781 2.191 2.574 Cu
```

Properties
Its space-group type is No. 25. The total moment is 0.000 μB per atom. The value obtained for the density of states at the Fermi level is 0.83 states/eV/atom. Its energy of formation from the pure elements is -354.1 meV/atom.

=====

Record 10
# Ho3FeBi

Crystalline Ho3FeBi at its relaxed geometry (PBE, Alexandria via LeMat-Bulk).

Structure (POSCAR):
```
Ho3FeBi
1.0
-5.020 0.972 -0.364
-0.882 -3.045 4.028
0.547 4.007 3.149
Fe Bi Ho
1 1 3
Cartesian
0.000 0.000 0.000 Fe
-2.677 0.967 3.407 Bi
-0.441 -1.523 2.014 Ho
0.274 2.004 1.575 Ho
-2.510 0.486 -0.182 Ho
```

Properties
Its space-group type is No. 221. The total moment is 0.035 μB per atom. The value obtained for the density of states at the Fermi level is 1.41 states/eV/atom. Its energy of formation from the pure elements is -192.6 meV/atom.

=====

Record 11
# Pm2AlNi2

Crystalline Pm2AlNi2 at its relaxed geometry (PBE, Alexandria via LeMat-Bulk).

Structure (POSCAR):
```
Pm2AlNi2
1.0
-4.218 0.788 3.466
-2.277 -4.302 2.596
3.567 0.170 6.965
Pm Al Ni
4 2 4
Cartesian
-2.043 -0.464 3.289 Pm
-3.238 -1.471 6.511 Pm
-0.885 -2.879 9.738 Pm
0.310 -1.873 6.517 Pm
-1.650 -3.564 4.456 Al
-1.278 0.220 8.571 Al
-1.285 0.644 6.030 Ni
-1.265 -0.216 11.110 Ni
-1.643 -3.988 6.997 Ni
-1.663 -3.127 1.918 Ni
```

Properties
Its space-group type is No. 15. The total moment is 0.000 μB per atom. The value obtained for the density of states at the Fermi level is 0.69 states/eV/atom. Its energy of formation from the pure elements is -462.7 meV/atom.

=====

Record 12
# PmTmNi4

Crystalline PmTmNi4 at its relaxed geometry (PBE, Alexandria via LeMat-Bulk).

Structure (POSCAR):
```
PmTmNi4
1.0
-2.980 0.093 -4.121
1.082 -2.966 -3.988
-2.967 -3.987 -1.084
Ni Tm Pm
4 1 1
Cartesian
-1.551 -2.286 -5.208 Ni
-3.589 -2.800 -3.746 Ni
-3.045 -4.293 -5.753 Ni
-1.545 -4.340 -3.679 Ni
0.000 0.000 0.000 Tm
-1.216 -1.715 -2.298 Pm
```

Properties
Its space-group type is No. 216. The total moment is 0.000 μB per atom. The value obtained for the density of states at the Fermi level is 0.55 states/eV/atom. Its energy of formation from the pure elements is -418.2 meV/atom.

=====

Record 13
# Cs2KCa

Crystalline Cs2KCa at its relaxed geometry (PBE, Alexandria via LeMat-Bulk).

Structure (POSCAR):
```
Cs2KCa
1.0
-3.333 -9.559 6.714
-6.289 -4.415 -9.409
-1.159 -9.234 -2.734
Cs Ca K
4 2 2
Cartesian
-3.152 -8.815 2.322 Cs
-4.644 -6.284 -5.710 Cs
-4.491 -12.176 -3.081 Cs
-9.276 -19.144 -4.388 Cs
0.000 0.000 0.000 Ca
-4.652 -12.891 1.317 Ca
-4.811 -6.987 -1.347 K
-6.130 -10.319 -6.745 K
```

Properties
Its space-group type is No. 122. The total moment is 0.000 μB per atom. The value obtained for the density of states at the Fermi level is 1.29 states/eV/atom. Its energy of formation from the pure elements is 270.7 meV/atom.

=====

Record 14
# BaTaRe

Crystalline BaTaRe at its relaxed geometry (PBE, Alexandria via LeMat-Bulk).

Structure (POSCAR):
```
BaTaRe
1.0
-2.839 2.849 -1.492
0.092 -3.977 -1.604
-3.629 -1.621 3.811
Re Ba Ta
1 1 1
Cartesian
-2.699 -2.513 0.339 Re
-0.001 0.000 0.001 Ba
-3.676 -0.237 0.377 Ta
```

Properties
Its space-group type is No. 187. The total moment is 0.000 μB per atom. The value obtained for the density of states at the Fermi level is 0.98 states/eV/atom. Its energy of formation from the pure elements is 903.3 meV/atom.

=====

Record 15
# Sr2ZrTl

Crystalline Sr2ZrTl at its relaxed geometry (PBE, Alexandria via LeMat-Bulk).

Structure (POSCAR):
```
Sr2ZrTl
1.0
6.186 -0.019 0.000
2.004 5.852 0.000
-4.095 -2.916 3.604
Sr Tl Zr
2 1 1
Cartesian
0.000 0.000 0.000 Sr
1.002 2.926 1.802 Sr
4.095 2.916 0.000 Tl
3.093 -0.010 1.802 Zr
```

Properties
Its space-group type is No. 119. The total moment is 0.627 μB per atom. The value obtained for the density of states at the Fermi level is 1.23 states/eV/atom. Its energy of formation from the pure elements is 297.5 meV/atom.

=====

Record 16
# SrHg2Au2

Crystalline SrHg2Au2 at its relaxed geometry (PBE, Alexandria via LeMat-Bulk).

Structure (POSCAR):
```
SrHg2Au2
1.0
4.754 0.000 0.000
0.000 5.524 -0.522
-2.377 -2.101 5.121
Sr Hg Au
1 2 2
Cartesian
0.000 0.000 0.000 Sr
0.000 1.078 3.450 Hg
2.377 2.345 1.149 Hg
2.377 -0.281 2.275 Au
0.000 3.705 2.325 Au
```

Properties
Its space-group type is No. 12. The total moment is 0.000 μB per atom. The value obtained for the density of states at the Fermi level is 0.23 states/eV/atom. Its energy of formation from the pure elements is -417.3 meV/atom.

=====

Record 17
# Tb14YTm

Crystalline Tb14YTm at its relaxed geometry (PBE, Alexandria via LeMat-Bulk).

Structure (POSCAR):
```
Tb14YTm
1.0
7.091 -0.856 0.000
-2.800 6.571 0.000
0.000 0.000 11.494
Tb Y Tm
14 1 1
Cartesian
-2.385 6.259 0.000 Tb
2.559 2.546 0.000 Tb
0.655 1.737 5.747 Tb
-0.984 2.976 0.000 Tb
2.805 4.600 5.747 Tb
1.158 5.829 0.000 Tb
2.306 0.497 8.614 Tb
2.306 0.497 2.881 Tb
4.456 3.361 8.614 Tb
4.456 3.361 2.881 Tb
0.908 3.786 8.608 Tb
0.908 3.786 2.886 Tb
5.856 0.071 8.627 Tb
5.856 0.071 2.867 Tb
4.205 1.311 5.747 Y
-0.743 5.026 5.747 Tm
```

Properties
Its space-group type is No. 38. The total moment is 0.000 μB per atom. The value obtained for the density of states at the Fermi level is 1.13 states/eV/atom. Its energy of formation from the pure elements is -0.8 meV/atom.

=====

Record 18
# NaZnCl2

Crystalline NaZnCl2 at its relaxed geometry (PBE, Alexandria via LeMat-Bulk).

Structure (POSCAR):
```
NaZnCl2
1.0
5.918 0.000 0.000
0.000 5.918 0.000
2.959 2.959 6.790
Na Zn Cl
2 2 4
Cartesian
2.959 2.959 0.000 Na
2.959 5.918 3.395 Na
0.000 0.000 0.000 Zn
5.918 2.959 3.395 Zn
4.583 1.479 1.698 Cl
1.335 4.438 1.698 Cl
4.438 4.294 5.093 Cl
7.397 7.542 5.093 Cl
```

Properties
Its space-group type is No. 122. The total moment is 0.000 μB per atom. The value obtained for the density of states at the Fermi level is 0.05 states/eV/atom. The value obtained for the final energy is -2.54 eV per atom.

=====

Record 19
# CdSe3O

Crystalline CdSe3O at its relaxed geometry (PBE, Alexandria via LeMat-Bulk).

Structure (POSCAR):
```
CdSe3O
1.0
4.579 0.000 0.000
0.000 4.579 0.000
0.000 0.000 4.579
O Se Cd
1 3 1
Cartesian
0.000 0.000 0.000 O
0.000 2.289 0.000 Se
0.000 0.000 2.289 Se
2.289 0.000 0.000 Se
2.289 2.289 2.289 Cd
```

Properties
Its space-group type is No. 221. The total moment is 0.000 μB per atom. The value obtained for the density of states at the Fermi level is 0.39 states/eV/atom. The value obtained for the final energy is -2.94 eV per atom.

=====

Record 20
# Li2Cd12Ag

Crystalline Li2Cd12Ag at its relaxed geometry (PBE, Alexandria via LeMat-Bulk).

Structure (POSCAR):
```
Li2Cd12Ag
1.0
5.854 0.000 0.000
0.000 5.854 0.000
0.000 0.000 21.047
Li Cd Ag
4 24 2
Cartesian
2.927 0.000 5.396 Li
0.000 2.927 5.396 Li
0.000 2.927 15.652 Li
2.927 0.000 15.652 Li
2.927 2.927 16.804 Cd
0.000 0.000 16.804 Cd
4.389 4.392 18.997 Cd
1.462 4.389 18.997 Cd
0.000 0.000 6.994 Cd
1.465 4.392 2.050 Cd
4.818 1.891 11.918 Cd
2.927 2.927 6.994 Cd
1.465 1.462 18.997 Cd
4.392 4.389 2.050 Cd
1.891 1.036 11.918 Cd
3.963 1.036 9.129 Cd
0.000 0.000 14.053 Cd
1.036 1.891 9.129 Cd
1.462 1.465 2.050 Cd
4.818 3.963 9.129 Cd
3.963 4.818 11.918 Cd
0.000 0.000 4.244 Cd
1.036 3.963 11.918 Cd
2.927 2.927 14.053 Cd
4.392 1.465 18.997 Cd
2.927 2.927 4.244 Cd
1.891 4.818 9.129 Cd
4.389 1.462 2.050 Cd
2.927 0.000 0.000 Ag
0.000 2.927 0.000 Ag
```

Properties
Its space-group type is No. 125. The total moment is 0.000 μB per atom. The value obtained for the density of states at the Fermi level is 0.41 states/eV/atom. Its energy of formation from the pure elements is 12.0 meV/atom.